# 1
{"formula": "Re3Te", "functional": "PBE", "state": "relaxed", "lattice": [[5.8782, 0.0000, 0.0000], [-2.9391, 5.0907, 0.0000], [0.0000, 0.0000, 8.8193]], "species": ["Re", "Re", "Re", "Re", "Re", "Re", "Re", "Re", "Re", "Re", "Re", "Re", "Te", "Te", "Te", "Te"], "frac_coords": [[0.0000, 0.5000, 0.0000], [0.0000, 0.5000, 0.5000], [0.1718, 0.3436, 0.2500], [0.1718, 0.8282, 0.2500], [0.3436, 0.1718, 0.7500], [0.5000, 0.0000, 0.0000], [0.5000, 0.0000, 0.5000], [0.5000, 0.5000, 0.0000], [0.5000, 0.5000, 0.5000], [0.6564, 0.8282, 0.2500], [0.8282, 0.1718, 0.7500], [0.8282, 0.6564, 0.7500], [0.0000, 0.0000, 0.0000], [0.0000, 0.0000, 0.5000], [0.3333, 0.6667, 0.7500], [0.6667, 0.3333, 0.2500]], "vol_a3_per_cell": 263.9, "e_above_lowest_polymorph_ev_per_atom": 0.460, "e_form_raw_mev_per_atom": 994}

# 2
{"formula": "Tl2HgW", "functional": "PBE", "state": "relaxed", "lattice": [[3.0737, 0.0000, 0.0000], [-1.5368, 2.6619, 0.0000], [0.0000, 0.0000, 34.9232]], "species": ["Tl", "Tl", "Tl", "Tl", "Tl", "Tl", "Hg", "Hg", "Hg", "W", "W", "W"], "frac_coords": [[0.0000, 0.0000, 0.2398], [0.0000, 0.0000, 0.7602], [0.3333, 0.6667, 0.4268], [0.3333, 0.6667, 0.9065], [0.6667, 0.3333, 0.0935], [0.6667, 0.3333, 0.5732], [0.0000, 0.0000, 0.0000], [0.3333, 0.6667, 0.6667], [0.6667, 0.3333, 0.3333], [0.0000, 0.0000, 0.5000], [0.3333, 0.6667, 0.1667], [0.6667, 0.3333, 0.8333]], "delta_e_f_mev_per_atom": 730, "vol_a3_per_cell": 285.7, "e_above_lowest_polymorph_ev_per_atom": 0.014}

# 3
{"formula": "NaNbPS2", "functional": "PBE", "state": "relaxed", "lattice": [[4.8476, 0.0000, 0.0000], [0.0000, 4.8476, 0.0000], [0.0000, 0.0000, 4.8942]], "species": ["Na", "Nb", "P", "S", "S"], "frac_coords": [[0.0000, 0.0000, 0.0000], [0.5000, 0.5000, 0.5000], [0.5000, 0.5000, 0.0000], [0.0000, 0.5000, 0.5000], [0.5000, 0.0000, 0.5000]], "vol_a3_per_cell": 115.0, "e_above_lowest_polymorph_ev_per_atom": 0.000, "e_form_raw_mev_per_atom": -470}